[1]
Below is a geometry-optimized HoCdInGa structure, with properties calculated at the PBE level.

```
HoCdInGa
1.0
7.188 0.000 0.000
0.000 7.188 0.000
0.000 0.000 7.188
Ho Cd In Ga
4 4 4 4
direct
0.000 0.000 0.000
0.000 0.500 0.500
0.500 0.000 0.500
0.500 0.500 0.000
0.000 0.000 0.500
0.000 0.500 0.000
0.500 0.000 0.000
0.500 0.500 0.500
0.250 0.250 0.750
0.250 0.750 0.250
0.750 0.250 0.250
0.750 0.750 0.750
0.250 0.250 0.250
0.250 0.750 0.750
0.750 0.250 0.750
0.750 0.750 0.250
```

Properties
Magnetization (μB per atom): 0.00
Total DFT energy (no corrections) (eV/atom): -3.0162
Polymorph energy (0 for the lowest one) (eV per atom): 0.185
ΔE_f (eV/atom): -0.2017

***

[2]
Below is a geometry-optimized LiInFe structure, with properties calculated at the PBE level.

```
LiInFe
1.0
3.051 0.000 0.000
0.000 3.051 0.000
0.000 0.000 10.252
Li In Fe
2 2 2
direct
0.000 0.000 0.000
0.500 0.500 0.500
0.000 0.000 0.675
0.500 0.500 0.175
0.000 0.000 0.351
0.500 0.500 0.851
```

Properties
Magnetization (μB per atom): 0.87
Total DFT energy (no corrections) (eV/atom): -4.1759
ΔE_f (eV/atom): 0.1957

***

[3]
Below is a geometry-optimized PPdNO2 structure, with properties calculated at the PBE level.

```
PPdNO2
1.0
3.775 0.000 0.000
0.000 3.775 0.000
0.000 0.000 3.663
P Pd N O
1 1 1 2
direct
0.000 0.000 0.000
0.500 0.500 0.000
0.000 0.000 0.500
0.000 0.500 0.500
0.500 0.000 0.500
```

Properties
Magnetization (μB per atom): 0.06
Total DFT energy (no corrections) (eV/atom): -4.7116
Formation energy without anion corrections (eV/atom): 1.06

***

[4]
Below is a geometry-optimized Nb3H3Au structure, with properties calculated at the PBE level.

```
Nb3H3Au
1.0
5.447 0.000 0.000
0.000 5.447 0.000
0.000 0.000 5.447
Nb H Au
6 6 2
direct
0.000 0.250 0.500
0.000 0.750 0.500
0.250 0.500 0.000
0.500 0.000 0.250
0.500 0.000 0.750
0.750 0.500 0.000
0.000 0.500 0.250
0.000 0.500 0.750
0.250 0.000 0.500
0.500 0.250 0.000
0.500 0.750 0.000
0.750 0.000 0.500
0.000 0.000 0.000
0.500 0.500 0.500
```

Properties
Magnetization (μB per atom): 0.00
Total DFT energy (no corrections) (eV/atom): -6.4108

***

[5]
Below is a geometry-optimized Sm2Cr2Ni15 structure, with properties calculated at the PBE level.

```
Sm2Cr2Ni15
1.0
4.164 2.404 4.063
-4.164 2.404 4.063
0.000 -4.808 4.063
Sm Cr Ni
2 2 15
direct
0.159 0.159 0.159
0.841 0.841 0.841
0.420 0.420 0.420
0.580 0.580 0.580
0.000 0.500 0.500
0.160 0.160 0.653
0.160 0.653 0.160
0.200 0.500 0.800
0.200 0.800 0.500
0.347 0.840 0.840
0.500 0.000 0.500
0.500 0.200 0.800
0.500 0.500 0.000
0.500 0.800 0.200
0.653 0.160 0.160
0.800 0.200 0.500
0.800 0.500 0.200
0.840 0.347 0.840
0.840 0.840 0.347
```

Properties
Magnetization (μB per atom): 0.23
Total DFT energy (no corrections) (eV/atom): -6.2482
ΔE_f (eV/atom): -0.1743

***

[6]
Below is a geometry-optimized TaInAg2H structure, with properties calculated at the PBE level.

```
TaInAg2H
1.0
4.273 0.000 0.000
0.000 4.273 0.000
0.000 0.000 4.233
Ta In Ag H
1 1 2 1
direct
0.000 0.000 0.000
0.500 0.500 0.000
0.000 0.500 0.500
0.500 0.000 0.500
0.000 0.000 0.500
```

Properties
Magnetization (μB per atom): 0.00
Total DFT energy (no corrections) (eV/atom): -4.4662
Polymorph energy (0 for the lowest one) (eV per atom): 0.000

***

[7]
Below is a geometry-optimized FeIr2Cl structure, with properties calculated at the PBE level.

```
FeIr2Cl
1.0
2.752 0.000 0.000
0.000 4.108 0.000
0.000 0.000 11.320
Fe Ir Cl
2 4 2
direct
0.000 0.000 0.000
0.500 0.500 0.500
0.000 0.500 0.288
0.000 0.500 0.712
0.500 0.000 0.212
0.500 0.000 0.788
0.000 0.000 0.500
0.500 0.500 0.000
```

Properties
Magnetization (μB per atom): 0.87
Total DFT energy (no corrections) (eV/atom): -6.5335
Formation energy without anion corrections (eV/atom): 0.47
Polymorph energy (0 for the lowest one) (eV per atom): 0.134

***

[8]
Below is a geometry-optimized TlCo2Si structure, with properties calculated at the PBE level.

```
TlCo2Si
1.0
2.984 0.000 0.000
0.000 4.220 0.000
-1.488 0.000 4.811
Tl Co Si
1 2 1
direct
0.000 0.000 0.000
0.262 0.000 0.521
0.651 0.500 0.297
0.333 0.500 0.661
```

Properties
Magnetization (μB per atom): 0.34
Total DFT energy (no corrections) (eV/atom): -5.1585
Formation energy without anion corrections (eV/atom): 0.34
Polymorph energy (0 for the lowest one) (eV per atom): 0.309